Record 1
First-principles (GGA-PBEsol) data for an optimized crystal structure of Sc2Mo, as listed in Alexandria.

The structure in extended XYZ format:
```
6
Lattice="5.660 -1.433 0.000 5.660 1.433 0.000 -1.790 0.000 7.078" Properties=species:S:1:pos:R:3 pbc="T T T"
Sc -0.119 0.000 2.383
Sc 2.329 0.000 6.972
Sc 7.201 0.000 0.106
Sc 9.649 0.000 4.695
Mo 2.712 0.000 2.430
Mo 6.818 0.000 4.647
```

Energy relative to the elements   0.26 eV per atom

=====

Record 2
First-principles (GGA-PBEsol) data for an optimized crystal structure of BaB2O4, as listed in Alexandria.

The structure in extended XYZ format:
```
42
Lattice="6.275 3.623 4.214 -6.275 3.623 4.214 0.000 -7.246 4.214" Properties=species:S:1:pos:R:3 pbc="T T T"
Ba -1.769 -3.589 4.214
Ba -4.052 -0.296 6.322
Ba -2.224 3.327 4.214
Ba 2.282 -3.361 6.322
Ba 3.993 0.262 4.214
Ba 1.769 3.657 6.322
B -5.357 2.522 4.573
B 0.494 -5.900 4.573
B -1.368 -0.460 3.688
B 1.082 -0.954 3.688
B 0.285 1.415 3.688
B -0.918 -1.101 6.680
B -0.494 1.346 6.680
B 1.413 -0.245 6.680
B -1.082 -0.954 10.010
B -0.285 1.415 10.010
B 1.368 -0.460 10.010
B 4.863 3.378 4.573
O -0.889 -6.189 4.606
O -2.607 -0.926 3.755
O -4.474 1.535 4.487
O -4.915 3.864 4.606
O -0.267 -1.356 3.661
O 0.908 -4.642 4.487
O -1.041 0.909 3.661
O -1.801 -2.088 6.594
O 2.106 -1.795 3.755
O 1.308 0.447 3.661
O -1.360 0.241 6.713
O 0.502 2.721 3.755
O 0.471 -1.298 6.713
O -2.106 -1.795 10.076
O -0.908 2.604 6.594
O 0.889 1.057 6.713
O -1.308 0.447 9.983
O 2.709 -0.516 6.594
O 0.267 -1.356 9.983
O 3.566 3.108 4.487
O -0.502 2.721 10.076
O 1.041 0.909 9.983
O 5.804 2.325 4.606
O 2.607 -0.926 10.076
```

E_form (uncorrected)   -2.69 eV/atom

=====

Record 3
First-principles (GGA-PBEsol) data for an optimized crystal structure of SiAg2Mo, as listed in Alexandria.

The structure in extended XYZ format:
```
4
Lattice="2.836 0.000 0.000 0.000 4.455 0.000 0.000 0.000 4.899" Properties=species:S:1:pos:R:3 pbc="T T T"
Si 0.000 0.000 0.000
Ag 0.000 2.228 2.450
Ag 1.418 0.000 2.450
Mo 1.418 2.228 0.000
```

E_form (uncorrected)   0.22 eV/atom